Material: HoThScNb
Method: DFT, PBE
State: optimized geometry Values from VASP.

Cell and atoms, written as Quantum ESPRESSO input:
```
&SYSTEM
  ibrav = 0, nat = 4, ntyp = 4
/
ATOMIC_SPECIES
Sc 44.96 Sc.upf
Nb 92.91 Nb.upf
Ho 164.93 Ho.upf
Th 232.04 Th.upf
CELL_PARAMETERS angstrom
5.231 0.000 0.000
2.615 4.530 0.000
2.615 1.510 4.271
ATOMIC_POSITIONS angstrom
Sc 5.231 3.020 2.135
Nb 0.000 0.000 0.000
Ho 7.846 4.530 3.203
Th 2.615 1.510 1.068
```

Summary:
The energy of formation is 186 meV per atom. As for the density of states at the Fermi level: 6.1 states/eV/cell. As for the space group: F-43m, No. 216. Its energy is -6.914 eV per atom.